1.
Entry from the Alexandria database: a relaxed structure of Tb5NiHg2 (PBE).

## Properties
* calculated density: 9.86 Mg/m³
* magnetization: 0.00 μB/f.u.
* raw total energy: -4.03 eV per atom
* calculated volume: 26.4 Å³ per atom
* energy relative to the lowest polymorph listed for this composition: 0.000 eV/atom

a = 4.915 Å, b = 7.230 Å, c = 11.887 Å
α = 90.00°, β = 90.00°, γ = 90.00°
Fractional coordinates of all 16 atoms:
1 Hg 0.500 0.911 0.657
2 Hg 0.500 0.589 0.157
3 Hg 0.500 0.089 0.343
4 Hg 0.500 0.411 0.843
5 Tb 0.000 0.000 0.500
6 Tb 0.000 0.500 0.000
7 Tb 0.000 0.636 0.705
8 Tb 0.000 0.136 0.795
9 Tb 0.500 0.174 0.086
10 Tb 0.500 0.326 0.586
11 Tb 0.000 0.364 0.295
12 Tb 0.500 0.674 0.414
13 Tb 0.000 0.864 0.205
14 Tb 0.500 0.826 0.914
15 Ni 0.000 0.000 0.000
16 Ni 0.000 0.500 0.500

2.
Entry from the Alexandria database: a relaxed structure of Mn2PRh (PBE).

## Properties
* calculated density: 8.54 Mg/m³
* magnetization: 0.56 μB/f.u.
* raw total energy: -7.84 eV per atom
* calculated volume: 11.8 Å³ per atom

a = 7.898 Å, b = 7.898 Å, c = 7.898 Å
α = 19.37°, β = 19.37°, γ = 19.37°
Site moments in Bohr magnetons follow the coordinates.
Fractional coordinates of all 4 atoms:
1 Rh 0.750 0.750 0.750  -0.01
2 Mn 0.993 0.993 0.993  0.29
3 Mn 0.507 0.507 0.507  0.29
4 P 0.250 0.250 0.250  -0.02

3.
Entry from the Alexandria database: a relaxed structure of TiSiGeB2 (PBE).

## Properties
* calculated density: 3.71 Mg/m³
* magnetization: 0.00 μB/f.u.
* raw total energy: -5.28 eV per atom
* calculated volume: 15.2 Å³ per atom
* energy relative to the elements, uncorrected: 94 kJ/mol of atoms

a = 3.899 Å, b = 5.007 Å, c = 3.899 Å
α = 90.00°, β = 90.00°, γ = 90.00°
Fractional coordinates of all 5 atoms:
1 B 0.000 0.000 0.500
2 B 0.500 0.000 0.000
3 Ge 0.500 0.500 0.500
4 Ti 0.000 0.500 0.000
5 Si 0.000 0.000 0.000

4.
Entry from the Alexandria database: a relaxed structure of Y8AlIr2 (PBE).

## Properties
* calculated density: 6.10 Mg/m³
* magnetization: 0.28 μB/f.u.
* raw total energy: -7.03 eV per atom
* calculated volume: 27.8 Å³ per atom

a = 5.439 Å, b = 7.920 Å, c = 7.920 Å
α = 112.75°, β = 97.63°, γ = 97.63°
Fractional coordinates of all 11 atoms:
1 Ir 0.500 0.692 0.314
2 Ir 0.500 0.314 0.692
3 Y 0.422 0.935 0.676
4 Y 0.578 0.071 0.330
5 Y 0.422 0.676 0.935
6 Y 0.804 0.623 0.623
7 Y 0.000 0.247 0.759
8 Y 0.000 0.759 0.247
9 Y 0.196 0.384 0.384
10 Y 0.578 0.330 0.071
11 Al 0.001 0.003 0.003